Computed, not measured: an optimized crystal structure of ZrTl2Cu at the PBE level of DFT.

The formation energy is 1.0 eV per formula unit. Its polymorph energy (0 for the lowest one) is 0.1795 eV/atom.

It has space group I-42d (No. 122), with a = 7.692 Å, b = 7.692 Å, c = 6.100 Å, α = 90.00°, β = 90.00° and γ = 90.00°. The asymmetric unit holds Zr at (0.000, 0.000, 0.000), Tl at (0.212, 0.250, 0.625) and Cu at (0.000, 0.000, 0.500).

***

Computed, not measured: an optimized crystal structure of LaVN2 at the PBE level of DFT.

The value obtained for the formation energy without anion corrections is -0.9541 eV/atom.

It has space group I-42d (No. 122), with a = 5.046 Å, b = 5.046 Å, c = 9.828 Å, α = 90.00°, β = 90.00° and γ = 90.00°. The asymmetric unit holds La at (0.000, 0.000, 0.000), V at (0.000, 0.000, 0.500) and N at (0.156, 0.250, 0.625).

***

Computed, not measured: an optimized crystal structure of SmPuAsAu at the PBE level of DFT.

The formation energy is -3.0 eV per formula unit.

It has space group F-43m (No. 216), with a = 7.267 Å, b = 7.267 Å, c = 7.267 Å, α = 90.00°, β = 90.00° and γ = 90.00°. The asymmetric unit holds Sm at (0.000, 0.000, 0.000), Pu at (0.000, 0.000, 0.500), As at (0.250, 0.250, 0.250) and Au at (0.250, 0.250, 0.750).

***

Computed, not measured: an optimized crystal structure of CsKAu at the PBE level of DFT.

The formation energy is -0.7 eV per formula unit.

It has space group P-1 (No. 2), with a = 4.364 Å, b = 6.257 Å, c = 11.269 Å, α = 89.97°, β = 78.87° and γ = 89.99°. The asymmetric unit holds Cs at (0.062, 0.250, 0.372), K at (0.194, 0.750, 0.113) and Au at (0.426, 0.249, 0.648).

***

Computed, not measured: an optimized crystal structure of Ta2TiBe2 at the PBE level of DFT.

The formation energy is -0.5 eV per formula unit.

It has space group P4/mbm (No. 127), with a = 6.482 Å, b = 6.482 Å, c = 3.333 Å, α = 90.00°, β = 90.00° and γ = 90.00°. The asymmetric unit holds Ta at (0.178, 0.322, 0.000), Ti at (0.000, 0.000, 0.500) and Be at (0.115, 0.615, 0.500).

***

Computed, not measured: an optimized crystal structure of Sc8Co2Ni at the PBE level of DFT.

The formation energy is -1.6 eV per formula unit.

It has space group Cm (No. 8), with a = 7.810 Å, b = 11.455 Å, c = 5.246 Å, α = 90.00°, β = 107.42° and γ = 90.00°. The asymmetric unit holds Sc at (0.000, 0.000, 0.000), Sc at (0.076, 0.369, 0.779), Sc at (0.169, 0.131, 0.587), Sc at (0.234, 0.500, 0.373), Sc at (0.369, 0.221, 0.186), Co at (0.373, 0.312, 0.685) and Ni at (0.364, 0.000, 0.298).

***

Computed, not measured: an optimized crystal structure of PuI2Br8 at the PBE level of DFT.

The value obtained for the formation energy without anion corrections is -0.5618 eV/atom.

It has space group C2/m (No. 12), with a = 17.094 Å, b = 7.524 Å, c = 8.182 Å, α = 90.00°, β = 110.86° and γ = 90.00°. The asymmetric unit holds Pu at (0.000, 0.000, 0.000), I at (0.246, 0.500, 0.527), Br at (0.077, 0.000, 0.371), Br at (0.086, 0.500, 0.439) and Br at (0.106, 0.246, 0.973).

***

Computed, not measured: an optimized crystal structure of LaTb2Zn2Sn2 at the PBE level of DFT.

The formation energy is -2.7 eV per formula unit.

It has space group R-3m (No. 166, hexagonal axes), with a = 4.6999 Å, b = 4.6999 Å, c = 28.5557 Å, α = 90.00°, β = 90.00° and γ = 120.00°. The asymmetric unit holds La at (0.0000, 0.0000, 0.0000), Tb at (0.0000, 0.0000, 0.1327), Zn at (0.0000, 0.0000, 0.4232) and Sn at (0.0000, 0.0000, 0.2633).

***

Computed, not measured: an optimized crystal structure of Co3SiH at the PBE level of DFT.

Its polymorph energy (0 for the lowest one) is 0.1024 eV/atom.

It has space group Cm (No. 8), with a = 8.204 Å, b = 5.012 Å, c = 4.377 Å, α = 90.00°, β = 93.16° and γ = 90.00°. The asymmetric unit holds Co at (0.000, 0.000, 0.000), Co at (0.012, 0.258, 0.528), Co at (0.249, 0.254, 0.173), Co at (0.262, 0.000, 0.692), Si at (0.256, 0.500, 0.685), Si at (0.494, 0.000, 0.037), H at (0.139, 0.000, 0.344) and H at (0.385, 0.500, 0.306).

***

Computed, not measured: an optimized crystal structure of DyH5Ir at the PBE level of DFT.

The total energy comes out at -4.799 eV/atom.

It has space group Immm (No. 71), with a = 3.873 Å, b = 4.665 Å, c = 6.652 Å, α = 90.00°, β = 90.00° and γ = 90.00°. The asymmetric unit holds Dy at (0.000, 0.000, 0.000), H at (0.000, 0.264, 0.329), H at (0.000, 0.500, 0.000) and Ir at (0.000, 0.000, 0.500).

***

Computed, not measured: an optimized crystal structure of CaMgGa2Pt at the PBE level of DFT.

The formation energy is -3.2 eV per formula unit.

It has space group Imm2 (No. 44), with a = 4.219 Å, b = 4.247 Å, c = 11.559 Å, α = 90.00°, β = 90.00° and γ = 90.00°. The asymmetric unit holds Ca at (0.000, 0.000, 0.000), Mg at (0.000, 0.500, 0.759), Ga at (0.000, 0.000, 0.609), Ga at (0.000, 0.500, 0.261) and Pt at (0.000, 0.000, 0.395).

***

Computed, not measured: an optimized crystal structure of CoRh2Se at the PBE level of DFT.

The value obtained for the formation energy without anion corrections is 0.2901 eV/atom.

It has space group F-43m (No. 216), with a = 6.123 Å, b = 6.123 Å, c = 6.123 Å, α = 90.00°, β = 90.00° and γ = 90.00°. The asymmetric unit holds Co at (0.000, 0.000, 0.000), Rh at (0.000, 0.000, 0.500), Rh at (0.250, 0.250, 0.750) and Se at (0.250, 0.250, 0.250).

***

Computed, not measured: an optimized crystal structure of Te2IrF at the PBE level of DFT.

The value obtained for the formation energy without anion corrections is -0.5648 eV/atom. Its polymorph energy (0 for the lowest one) is 0.1969 eV/atom.

It has space group P1 (No. 1), with a = 3.959 Å, b = 4.445 Å, c = 6.322 Å, α = 81.30°, β = 89.82° and γ = 63.56°. The asymmetric unit holds Te at (0.000, 0.000, 0.000), Te at (0.168, 0.667, 0.577), Ir at (0.677, 0.647, 0.830) and F at (0.366, 0.271, 0.409).

***

Computed, not measured: an optimized crystal structure of Co2PBr at the PBE level of DFT.

The value obtained for the formation energy without anion corrections is 0.1924 eV/atom. Its polymorph energy (0 for the lowest one) is 0.3962 eV/atom.

It has space group P4mm (No. 99), with a = 3.154 Å, b = 3.154 Å, c = 7.175 Å, α = 90.00°, β = 90.00° and γ = 90.00°. The asymmetric unit holds Co at (0.000, 0.000, 0.000), Co at (0.500, 0.500, 0.188), P at (0.000, 0.000, 0.309) and Br at (0.500, 0.500, 0.805).

***

Computed, not measured: an optimized crystal structure of NaLaMo3 at the PBE level of DFT.

The formation energy is 10.8 eV per formula unit. Its polymorph energy (0 for the lowest one) is 0.0000 eV/atom.

It has space group Pm-3m (No. 221), with a = 4.867 Å, b = 4.867 Å, c = 4.867 Å, α = 90.00°, β = 90.00° and γ = 90.00°. The asymmetric unit holds Na at (0.000, 0.000, 0.000), La at (0.500, 0.500, 0.500) and Mo at (0.000, 0.500, 0.500).

***

Computed, not measured: an optimized crystal structure of Sr2SeI at the PBE level of DFT.

The value obtained for the formation energy without anion corrections is -1.5813 eV/atom. Its polymorph energy (0 for the lowest one) is 0.0042 eV/atom.

It has space group R3m (No. 160, hexagonal axes), with a = 4.4812 Å, b = 4.4812 Å, c = 24.4959 Å, α = 90.00°, β = 90.00° and γ = 120.00°. The asymmetric unit holds Sr at (0.0000, 0.0000, 0.0000), Sr at (0.0000, 0.0000, 0.1960), Se at (0.0000, 0.0000, 0.6022) and I at (0.0000, 0.0000, 0.4279).

***

Computed, not measured: an optimized crystal structure of Zr2Ta at the PBE level of DFT.

The formation energy is 0.6 eV per formula unit.

It has space group P-3m1 (No. 164), with a = 3.1109 Å, b = 3.1109 Å, c = 7.6974 Å, α = 90.00°, β = 90.00° and γ = 120.00°. The asymmetric unit holds Zr at (0.3333, 0.6667, 0.3242) and Ta at (0.0000, 0.0000, 0.0000).

***

Computed, not measured: an optimized crystal structure of Mg5ScCd6 at the PBE level of DFT.

The formation energy is -1.7 eV per formula unit.

It has space group C2/m (No. 12), with a = 15.569 Å, b = 6.666 Å, c = 5.083 Å, α = 90.00°, β = 100.34° and γ = 90.00°. The asymmetric unit holds Mg at (0.000, 0.000, 0.000), Mg at (0.166, 0.500, 0.651), Mg at (0.167, 0.000, 0.652), Sc at (0.000, 0.500, 0.000), Cd at (0.000, 0.249, 0.500) and Cd at (0.168, 0.251, 0.151).

***

Computed, not measured: an optimized crystal structure of CaHgPt2 at the PBE level of DFT.

The formation energy is -1.4 eV per formula unit.

It has space group F-43m (No. 216), with a = 6.782 Å, b = 6.782 Å, c = 6.782 Å, α = 90.00°, β = 90.00° and γ = 90.00°. The asymmetric unit holds Ca at (0.000, 0.000, 0.000), Hg at (0.250, 0.250, 0.250), Pt at (0.000, 0.000, 0.500) and Pt at (0.250, 0.250, 0.750).

***

Computed, not measured: an optimized crystal structure of Mn2PBr at the PBE level of DFT.

The value obtained for the formation energy without anion corrections is -0.0014 eV/atom. Its polymorph energy (0 for the lowest one) is 0.1727 eV/atom.

It has space group Pm (No. 6), with a = 3.878 Å, b = 3.342 Å, c = 6.072 Å, α = 90.00°, β = 90.25° and γ = 90.00°. The asymmetric unit holds Mn at (0.000, 0.000, 0.000), Mn at (0.500, 0.500, 0.058), P at (0.499, 0.000, 0.810) and Br at (0.002, 0.500, 0.313).

***

no.,volume (Å³/atom)
1,22.560
2,15.640
3,23.985
4,50.319
5,14.005
6,20.353
7,44.697
8,26.012
9,8.987
10,8.585
11,20.709
12,14.350
13,24.552
14,17.845
15,23.059
16,35.500
17,21.504
18,21.621
19,19.497
20,19.673